Record 1
VASP calculation (PBE-GGA) on PtAuF2 after structural relaxation.

Output
- crystal system = cubic
- offset from the most stable computed form (meV/atom) = 719
- formation energy without anion corrections (eV/atom) = 0.0840

Cell: 4.2840 4.2840 4.2840 Å, 60.00 60.00 60.00°
Site moments in Bohr magnetons follow the coordinates.
Atoms (fractional coordinates):
Au  0.5000  0.5000  0.5000  0.09
Pt  0.0000  0.0000  0.0000  0.95
F  0.2500  0.2500  0.2500  0.09
F  0.7500  0.7500  0.7500  0.09



Record 2
VASP calculation (PBE-GGA) on LiTiTl2Sn after structural relaxation.

Output
- crystal system = tetragonal
- calculated formation energy (kJ/mol of atoms) = 22.5

Cell: 5.4338 5.3094 5.4338 Å, 90.00 90.00 90.00°
Atoms (fractional coordinates):
Tl  0.0000  0.0000  0.5000
Tl  0.5000  0.0000  0.0000
Li  0.5000  0.5000  0.5000
Sn  0.0000  0.5000  0.0000
Ti  0.0000  0.0000  0.0000



Record 3
VASP calculation (PBE-GGA) on Ce5InRu3 after structural relaxation.

Output
- crystal system = monoclinic
- calculated formation energy (kJ/mol of atoms) = -19.1

Cell: 7.5244 7.5244 9.9805 Å, 72.60 72.60 72.42°
Site moments in Bohr magnetons follow the coordinates.
Atoms (fractional coordinates):
Ce  0.9812  0.3637  0.3548  0.47
Ce  0.2931  0.7069  0.0000  0.51
Ce  0.7683  0.7683  0.0438  0.69
Ce  0.4652  0.4652  0.3468  0.42
Ce  0.5348  0.5348  0.6532  0.42
Ce  0.2317  0.2317  0.9562  0.69
Ce  0.3637  0.9812  0.3548  0.47
Ce  0.7069  0.2931  0.0000  0.51
Ce  0.0188  0.6363  0.6452  0.47
Ce  0.6363  0.0188  0.6452  0.47
In  0.0858  0.0858  0.7090  0.00
In  0.9142  0.9142  0.2910  0.00
Ru  0.6617  0.6617  0.8230  -0.09
Ru  0.6679  0.6679  0.3733  -0.08
Ru  0.0000  0.0000  0.0000  -0.09
Ru  0.0000  0.0000  0.5000  -0.08
Ru  0.3383  0.3383  0.1770  -0.09
Ru  0.3321  0.3321  0.6267  -0.08



The records above yield D(E_F) values of 8.75 4.61 44.74 states/eV/cell, respectively.